# ScSbPSe2

ScSbPSe2 at its PBEsol-relaxed geometry (SCAN, Alexandria via LeMat-Bulk).

Cell lengths 5.1486, 5.1486, 4.9432 Å; angles 90.00, 90.00, 90.00 degrees
Last column: nearest neighbours and their distance in Å.
Positions (direct):
1 Sc 0.0000 0.0000 0.0000  8 Se 3.57, 4 P 3.64
2 Sb 0.5000 0.5000 0.5000  2 P 2.47, 4 Se 2.57
3 P 0.5000 0.5000 0.0000  2 Sb 2.47
4 Se 0.0000 0.5000 0.5000  2 Sb 2.57
5 Se 0.5000 0.0000 0.5000  2 Sb 2.57

Computed properties:
calculated volume = 26.2 Å³ per atom
raw total energy = -20.13 eV/atom